{
  "formula": "K2TlIrF6",
  "functional": "PBE-GGA",
  "state": "optimized geometry",
  "lattice": [[0.000, 4.394, 4.394], [4.394, 0.000, 4.394], [4.394, 4.394, 0.000]],
  "species": ["K", "K", "Tl", "Ir", "F", "F", "F", "F", "F", "F"],
  "fractional_positions": [[0.250, 0.250, 0.250], [0.750, 0.750, 0.750], [0.000, 0.000, 0.000], [0.500, 0.500, 0.500], [0.273, 0.273, 0.727], [0.273, 0.727, 0.273], [0.273, 0.727, 0.727], [0.727, 0.273, 0.273], [0.727, 0.273, 0.727], [0.727, 0.727, 0.273]]
}

---

{
  "formula": "YSnAuO3",
  "functional": "PBE-GGA",
  "state": "optimized geometry",
  "lattice": [[1.757, -6.531, 0.000], [1.757, 6.531, 0.000], [0.000, 0.000, 8.345]],
  "species": ["Y", "Y", "Sn", "Sn", "Au", "Au", "O", "O", "O", "O", "O", "O"],
  "fractional_positions": [[0.000, 0.000, 0.000], [0.000, 0.000, 0.500], [0.324, 0.676, 0.750], [0.676, 0.324, 0.250], [0.351, 0.649, 0.250], [0.649, 0.351, 0.750], [0.074, 0.926, 0.250], [0.388, 0.612, 0.002], [0.388, 0.612, 0.498], [0.612, 0.388, 0.502], [0.612, 0.388, 0.998], [0.926, 0.074, 0.750]]
}

---

{
  "formula": "Dy2TmSn3IrPd2",
  "functional": "PBE-GGA",
  "state": "optimized geometry",
  "lattice": [[3.842, 0.000, 0.000], [0.000, 6.601, 3.816], [0.000, -6.601, 3.816]],
  "species": ["Dy", "Dy", "Tm", "Sn", "Sn", "Sn", "Ir", "Pd", "Pd"],
  "fractional_positions": [[0.000, 0.200, 0.800], [0.000, 0.800, 0.200], [0.000, 0.402, 0.402], [0.500, 0.061, 0.061], [0.500, 0.539, 0.800], [0.500, 0.800, 0.539], [0.000, 0.798, 0.798], [0.500, 0.136, 0.466], [0.500, 0.466, 0.136]]
}

---

{
  "formula": "Li4Mg2Cd",
  "functional": "PBE-GGA",
  "state": "optimized geometry",
  "lattice": [[4.631, 0.000, 0.000], [0.000, 4.631, 0.000], [0.000, 0.000, 6.476]],
  "species": ["Li", "Li", "Li", "Li", "Mg", "Mg", "Cd"],
  "fractional_positions": [[0.000, 0.500, 0.246], [0.000, 0.500, 0.754], [0.500, 0.000, 0.246], [0.500, 0.000, 0.754], [0.000, 0.000, 0.000], [0.500, 0.500, 0.500], [0.000, 0.000, 0.500]]
}

---

{
  "formula": "Ir2Au",
  "functional": "PBE-GGA",
  "state": "optimized geometry",
  "formation_enthalpy_0k_ev_per_fu": 10.36,
  "polymorph_energy_ev_per_atom": 2.801,
  "lattice": [[0.000, 5.692, 5.692], [5.692, 0.000, 5.692], [5.692, 5.692, 0.000]],
  "species": ["Ir", "Ir", "Ir", "Ir", "Au", "Au"],
  "fractional_positions": [[0.000, 0.000, 0.000], [0.000, 0.000, 0.500], [0.000, 0.500, 0.000], [0.500, 0.000, 0.000], [0.125, 0.125, 0.125], [0.875, 0.875, 0.875]]
}

---

{
  "formula": "TmLuTe3Pb",
  "functional": "PBE-GGA",
  "state": "optimized geometry",
  "polymorph_energy_ev_per_atom": 0.010,
  "lattice": [[2.144, -7.656, 0.000], [2.144, 7.656, 0.000], [0.000, 0.000, 11.778]],
  "species": ["Tm", "Tm", "Lu", "Lu", "Te", "Te", "Te", "Te", "Te", "Te", "Pb", "Pb"],
  "fractional_positions": [[0.055, 0.945, 0.750], [0.945, 0.055, 0.250], [0.500, 0.500, 0.000], [0.500, 0.500, 0.500], [0.141, 0.859, 0.526], [0.141, 0.859, 0.974], [0.422, 0.578, 0.750], [0.578, 0.422, 0.250], [0.859, 0.141, 0.026], [0.859, 0.141, 0.474], [0.278, 0.722, 0.250], [0.722, 0.278, 0.750]]
}

---

{
  "formula": "TbPd",
  "functional": "PBE-GGA",
  "state": "optimized geometry",
  "formation_enthalpy_0k_ev_per_fu": -0.24,
  "lattice": [[6.326, 0.000, 0.000], [0.000, 6.326, 0.000], [0.000, 0.000, 6.326]],
  "species": ["Tb", "Tb", "Tb", "Tb", "Pd", "Pd", "Pd", "Pd"],
  "fractional_positions": [[0.000, 0.000, 0.000], [0.000, 0.500, 0.500], [0.500, 0.000, 0.500], [0.500, 0.500, 0.000], [0.250, 0.250, 0.250], [0.250, 0.750, 0.750], [0.750, 0.250, 0.750], [0.750, 0.750, 0.250]]
}

---

{
  "formula": "InCuIrSeS2",
  "functional": "PBE-GGA",
  "state": "optimized geometry",
  "lattice": [[1.864, -6.844, 0.000], [1.864, 6.844, 0.000], [0.000, 0.000, 9.476]],
  "species": ["In", "In", "Cu", "Cu", "Ir", "Ir", "Se", "Se", "S", "S", "S", "S"],
  "fractional_positions": [[0.205, 0.795, 0.750], [0.795, 0.205, 0.250], [0.152, 0.848, 0.250], [0.848, 0.152, 0.750], [0.500, 0.500, 0.000], [0.500, 0.500, 0.500], [0.440, 0.560, 0.250], [0.560, 0.440, 0.750], [0.111, 0.889, 0.028], [0.111, 0.889, 0.472], [0.889, 0.111, 0.528], [0.889, 0.111, 0.972]]
}

---

{
  "formula": "NdTlCu3Te4",
  "functional": "PBE-GGA",
  "state": "optimized geometry",
  "lattice": [[6.679, 0.000, 0.000], [0.000, 6.679, 0.000], [0.000, 0.000, 6.679]],
  "species": ["Nd", "Tl", "Cu", "Cu", "Cu", "Te", "Te", "Te", "Te"],
  "fractional_positions": [[0.000, 0.000, 0.000], [0.500, 0.500, 0.500], [0.000, 0.000, 0.500], [0.000, 0.500, 0.000], [0.500, 0.000, 0.000], [0.248, 0.248, 0.752], [0.248, 0.752, 0.248], [0.752, 0.248, 0.248], [0.752, 0.752, 0.752]]
}

---

{
  "formula": "TmGaTe",
  "functional": "PBE-GGA",
  "state": "optimized geometry",
  "polymorph_energy_ev_per_atom": 0.030,
  "lattice": [[7.061, 0.000, 0.000], [0.000, 7.061, 0.000], [0.000, 0.000, 7.061]],
  "species": ["Tm", "Tm", "Tm", "Tm", "Ga", "Ga", "Ga", "Ga", "Te", "Te", "Te", "Te"],
  "fractional_positions": [[0.000, 0.000, 0.000], [0.000, 0.500, 0.500], [0.500, 0.000, 0.500], [0.500, 0.500, 0.000], [0.000, 0.000, 0.500], [0.000, 0.500, 0.000], [0.500, 0.000, 0.000], [0.500, 0.500, 0.500], [0.250, 0.250, 0.250], [0.250, 0.750, 0.750], [0.750, 0.250, 0.750], [0.750, 0.750, 0.250]]
}

---

{
  "formula": "MgTaTlCo",
  "functional": "PBE-GGA",
  "state": "optimized geometry",
  "polymorph_energy_ev_per_atom": 0.246,
  "lattice": [[6.531, 0.000, 0.000], [0.000, 6.531, 0.000], [0.000, 0.000, 6.531]],
  "species": ["Mg", "Mg", "Mg", "Mg", "Ta", "Ta", "Ta", "Ta", "Tl", "Tl", "Tl", "Tl", "Co", "Co", "Co", "Co"],
  "fractional_positions": [[0.000, 0.000, 0.000], [0.000, 0.500, 0.500], [0.500, 0.000, 0.500], [0.500, 0.500, 0.000], [0.250, 0.250, 0.250], [0.250, 0.750, 0.750], [0.750, 0.250, 0.750], [0.750, 0.750, 0.250], [0.000, 0.000, 0.500], [0.000, 0.500, 0.000], [0.500, 0.000, 0.000], [0.500, 0.500, 0.500], [0.250, 0.250, 0.750], [0.250, 0.750, 0.250], [0.750, 0.250, 0.250], [0.750, 0.750, 0.750]]
}

---

{
  "formula": "ZnCoCu4Si2",
  "functional": "PBE-GGA",
  "state": "optimized geometry",
  "lattice": [[4.076, 0.000, 0.000], [0.000, 4.076, 0.000], [0.000, 0.000, 5.788]],
  "species": ["Zn", "Co", "Cu", "Cu", "Cu", "Cu", "Si", "Si"],
  "fractional_positions": [[0.000, 0.000, 0.000], [0.500, 0.500, 0.500], [0.000, 0.500, 0.250], [0.000, 0.500, 0.750], [0.500, 0.000, 0.250], [0.500, 0.000, 0.750], [0.000, 0.000, 0.500], [0.500, 0.500, 0.000]]
}

---

Going through the records in order, we get electronic total energy values of -44.2, -79.2, -53.2, -11.5, -21.2, -54.2, -40.2, -57.2, -32.4, -46.1, -80.3, -33.5 eV/cell.
Going through the records in order, we get density values of 5.76, 7.85, 10.77, 2.26, 5.24, 8.02, 6.96, 7.06, 5.85, 6.91, 11.17, 7.51 g cm⁻³.